--- P ---
A plane-wave DFT calculation with PBE was carried out for Si2AgS after structural relaxation.

a b c (Å): 5.6872 5.6872 6.7504
angles (deg): 65.09 65.09 90.00
Element x y z (fractional)
Si 0.8750 0.8637 0.7500
Si 0.6137 0.1250 0.2500
Si 0.3750 0.3863 0.7500
Si 0.1363 0.6250 0.2500
Ag 0.0000 0.0000 0.0000
Ag 0.7500 0.2500 0.5000
S 0.5000 0.5000 0.0000
S 0.2500 0.7500 0.5000

--- Q ---
A plane-wave DFT calculation with PBE was carried out for Si2AgS after structural relaxation.

a b c (Å): 4.5889 4.5889 4.5889
angles (deg): 60.00 60.00 60.00
Element x y z (fractional)
Ag 0.5000 0.5000 0.5000
Si 0.2500 0.2500 0.2500
Si 0.7500 0.7500 0.7500
S 0.0000 0.0000 0.0000

Most stable structure, least stable structure: P, Q.